Here is a relaxed YPt crystal from OQMD via LeMat-Bulk. Energies are from PBE.

Properties
Calculated volume (Å³/f.u.): 46
E_form (eV/f.u.): -2.102
Magnetization (μB per cell): 0.00
Electronic total energy (eV/cell): -14.6

a = 4.2049 Å, b = 4.2049 Å, c = 4.2049 Å
α = 54.95°, β = 54.95°, γ = 54.95°
Fractional positions:
Y  0.0000  0.0000  0.0000
Pt  0.5000  0.5000  0.5000

***

Here is a relaxed YPt4 crystal from OQMD via LeMat-Bulk. Energies are from PBE.

Properties
Calculated volume (Å³/f.u.): 90
E_form (eV/f.u.): -2.836
Magnetization (μB per cell): 0.00
Electronic total energy (eV/cell): -67.0

a = 7.2053 Å, b = 7.2053 Å, c = 3.4840 Å
α = 90.00°, β = 90.00°, γ = 90.00°
Fractional positions:
Y  0.0000  0.0000  0.0000
Y  0.5000  0.5000  0.0000
Pt  0.1327  0.3673  0.0000
Pt  0.1668  0.6668  0.5000
Pt  0.3332  0.1668  0.5000
Pt  0.3673  0.8673  0.0000
Pt  0.6327  0.1327  0.0000
Pt  0.6668  0.8332  0.5000
Pt  0.8332  0.3332  0.5000
Pt  0.8673  0.6327  0.0000